[1]
# Sr2UBr8

A relaxed structure of Sr2UBr8 (PBE, Alexandria via LeMat-Bulk).

Unit cell a=8.6134 b=8.6134 c=7.9286 alpha=91.49 beta=91.49 gamma=47.51
Last column: nearest neighbours and their distance in Å.
Positions (direct):
Sr (0.1376, 0.1376, 0.0434)  4 Br 2.92-3.27
Sr (0.8624, 0.8624, 0.9566)  4 Br 2.92-3.27
U (0.0000, 0.0000, 0.5000)  6 Br 2.78-2.80
Br (0.1718, 0.1718, 0.4313)  1 U 2.78, 1 Sr 3.11
Br (0.2280, 0.7227, 0.2280)  1 U 2.80
Br (0.2773, 0.7720, 0.7720)  1 U 2.80
Br (0.3100, 0.3100, 0.9186)  1 Sr 2.92
Br (0.6900, 0.6900, 0.0814)  1 Sr 2.92
Br (0.7227, 0.2280, 0.2280)  1 U 2.80
Br (0.7720, 0.2773, 0.7720)  1 U 2.80
Br (0.8282, 0.8282, 0.5687)  1 U 2.78, 1 Sr 3.11

Properties
Total energy, eV per atom: -4.22
D(E_F), states/eV/f.u.: 3.93
Space-group type: C2/m (12)


[2]
# SrV2Br

A relaxed structure of SrV2Br (PBE, Alexandria via LeMat-Bulk).

Unit cell a=11.1118 b=11.1118 c=11.1118 alpha=157.73 beta=157.73 gamma=31.70
Last column: nearest neighbours and their distance in Å.
Positions (direct):
Sr (0.0000, 0.0000, 0.0000)  4 Br 3.03
Sr (0.7500, 0.2500, 0.5000)  4 Br 3.03
V (0.3527, 0.6250, 0.2277)  2 V 2.15
V (0.3750, 0.6027, 0.7277)  2 V 2.15
V (0.3973, 0.1250, 0.7723)  2 V 2.15
V (0.8750, 0.6473, 0.2723)  2 V 2.15
Br (0.2500, 0.7500, 0.5000)  4 V 2.88, 4 Sr 3.03
Br (0.5000, 0.5000, 0.0000)  4 V 2.88, 4 Sr 3.03

Properties
Energy relative to the lowest polymorph listed for this composition, meV per atom: 0
D(E_F), states/eV/f.u.: 4.56
Space-group type: I-42d (122)


[3]
# Sr2VBr6

A relaxed structure of Sr2VBr6 (PBE, Alexandria via LeMat-Bulk).

Unit cell a=6.9987 b=7.8635 c=12.1817 alpha=90.00 beta=124.75 gamma=90.00
Last column: nearest neighbours and their distance in Å.
Positions (direct):
Sr (0.2167, 0.1093, 0.2539)  7 Br 3.07-3.41
Sr (0.2167, 0.3907, 0.7539)  7 Br 3.07-3.41
Sr (0.7833, 0.6093, 0.2461)  7 Br 3.07-3.41
Sr (0.7833, 0.8907, 0.7461)  7 Br 3.07-3.41
V (0.5000, 0.0000, 0.0000)  6 Br 2.63-2.67
V (0.5000, 0.5000, 0.5000)  6 Br 2.63-2.67
Br (0.1261, 0.1683, 0.9411)  1 V 2.64
Br (0.1261, 0.3317, 0.4411)  1 V 2.64
Br (0.2836, 0.7004, 0.9445)  1 V 2.67
Br (0.2836, 0.7996, 0.4445)  1 V 2.67
Br (0.3710, 0.0264, 0.7517)  1 V 2.63
Br (0.3710, 0.4736, 0.2517)  1 V 2.63
Br (0.6290, 0.5264, 0.7483)  1 V 2.63
Br (0.6290, 0.9736, 0.2483)  1 V 2.63
Br (0.7164, 0.2004, 0.5555)  1 V 2.67
Br (0.7164, 0.2996, 0.0555)  1 V 2.67
Br (0.8739, 0.6683, 0.5589)  1 V 2.64
Br (0.8739, 0.8317, 0.0589)  1 V 2.64

Properties
Total energy, eV per atom: -4.17
Space-group type: P2_1/c (14)


[4]
# Sr3VBr8

A relaxed structure of Sr3VBr8 (PBE, Alexandria via LeMat-Bulk).

Unit cell a=7.7298 b=7.7298 c=8.4957 alpha=90.00 beta=90.00 gamma=111.72
Last column: nearest neighbours and their distance in Å.
Positions (direct):
Sr (0.0000, 0.0000, 0.0000)  6 Br 3.06-3.07
Sr (0.0000, 0.5000, 0.7413)  6 Br 3.03-3.10
Sr (0.5000, 0.0000, 0.2587)  6 Br 3.03-3.10
V (0.0000, 0.0000, 0.5000)  6 Br 2.66-2.70
Br (0.2081, 0.7919, 0.5000)  1 V 2.66
Br (0.2142, 0.2325, 0.7207)  1 V 2.70
Br (0.2325, 0.2142, 0.2793)  1 V 2.70
Br (0.2392, 0.7608, 0.0000)  3 Sr 3.06-3.09
Br (0.7608, 0.2392, 0.0000)  3 Sr 3.06-3.09
Br (0.7675, 0.7858, 0.2793)  1 V 2.70
Br (0.7858, 0.7675, 0.7207)  1 V 2.70
Br (0.7919, 0.2081, 0.5000)  1 V 2.66

Properties
Total energy, eV per atom: -4.05
Space-group type: C222 (21)


[5]
# Sr3VBr

A relaxed structure of Sr3VBr (PBE, Alexandria via LeMat-Bulk).

Unit cell a=5.9591 b=5.9591 c=5.9591 alpha=90.00 beta=90.00 gamma=90.00
Last column: nearest neighbours and their distance in Å.
Positions (direct):
Sr (0.0000, 0.0000, 0.5000)  2 Br 2.98
Sr (0.0000, 0.5000, 0.0000)  2 Br 2.98
Sr (0.5000, 0.0000, 0.0000)  2 Br 2.98
V (0.5000, 0.5000, 0.5000)  12 Sr 4.21
Br (0.0000, 0.0000, 0.0000)  6 Sr 2.98

Properties
Energy relative to the lowest polymorph listed for this composition, meV per atom: 0
D(E_F), states/eV/f.u.: 7.34
Space-group type: Pm-3m (221)


[6]
# Sr2VBr

A relaxed structure of Sr2VBr (PBE, Alexandria via LeMat-Bulk).

Unit cell a=5.7827 b=5.7827 c=5.7827 alpha=60.00 beta=60.00 gamma=60.00
Last column: nearest neighbours and their distance in Å.
Positions (direct):
Sr (0.2500, 0.2500, 0.2500)  4 Br 3.54, 4 V 3.54
Sr (0.7500, 0.7500, 0.7500)  4 Br 3.54, 4 V 3.54
V (0.0000, 0.0000, 0.0000)  8 Sr 3.54
Br (0.5000, 0.5000, 0.5000)  8 Sr 3.54

Properties
Energy relative to the lowest polymorph listed for this composition, meV per atom: 23
D(E_F), states/eV/f.u.: 3.62
Space-group type: Fm-3m (225)


[7]
# SrV2Br

A relaxed structure of SrV2Br (PBE, Alexandria via LeMat-Bulk).

Unit cell a=5.3479 b=5.3479 c=5.3479 alpha=60.00 beta=60.00 gamma=60.00
Last column: nearest neighbours and their distance in Å.
Positions (direct):
Sr (0.0000, 0.0000, 0.0000)  8 V 3.27
V (0.2500, 0.2500, 0.2500)  4 Br 3.27, 4 Sr 3.27
V (0.7500, 0.7500, 0.7500)  4 Br 3.27, 4 Sr 3.27
Br (0.5000, 0.5000, 0.5000)  8 V 3.27

Properties
Energy relative to the lowest polymorph listed for this composition, meV per atom: 457
D(E_F), states/eV/f.u.: 5.81
Space-group type: Fm-3m (225)


[8]
# Sr2VBr

A relaxed structure of Sr2VBr (PBE, Alexandria via LeMat-Bulk).

Unit cell a=7.3998 b=7.3998 c=7.3998 alpha=109.10 beta=109.10 gamma=110.21
Last column: nearest neighbours and their distance in Å.
Positions (direct):
Sr (0.1031, 0.6250, 0.9781)  2 Br 3.09, 2 V 3.34
Sr (0.3750, 0.3531, 0.4781)  2 Br 3.09, 2 V 3.34
Sr (0.6469, 0.1250, 0.0219)  2 Br 3.09, 2 V 3.34
Sr (0.8750, 0.8969, 0.5219)  2 Br 3.09, 2 V 3.34
V (0.2500, 0.7500, 0.5000)  4 Sr 3.34
V (0.5000, 0.5000, 0.0000)  4 Sr 3.34
Br (0.0000, 0.0000, 0.0000)  4 Sr 3.09
Br (0.7500, 0.2500, 0.5000)  4 Sr 3.09

Properties
Energy relative to the lowest polymorph listed for this composition, meV per atom: 0
D(E_F), states/eV/f.u.: 6.00
Space-group type: I-42d (122)


Calculated magnetic moment, 2.0, 0.0, 3.0, 3.0, 5.4, 5.9, 9.2, 5.2 μB per formula unit (same order as the records).